NbPdO2F | PBE-GGA | relaxed

* uncorrected formation energy: -169.9 meV/atom
* calculated density: 6.239 g/cm3

a b c (Å): 4.0818 3.9991 4.0818
angles (deg): 90.00 90.00 90.00
Closest atoms and distances in Å follow each position.
Sites, in units of the cell vectors:
Pd: 0.0000 0.0000 0.0000  2 F 2.00, 4 O 2.04
F: 0.0000 0.5000 0.0000  2 Pd 2.00
O: 0.5000 0.0000 0.0000  2 Pd 2.04
Nb: 0.5000 0.5000 0.5000  8 O 2.86, 4 F 2.89
O: 0.0000 0.0000 0.5000  2 Pd 2.04

NbPdO2F | PBE-GGA | relaxed

* uncorrected formation energy: -1546.0 meV/atom
* calculated density: 6.244 g/cm3

a b c (Å): 3.9855 3.9855 4.1907
angles (deg): 90.00 90.00 90.00
Closest atoms and distances in Å follow each position.
Sites, in units of the cell vectors:
Nb: 0.0000 0.0000 0.0000  4 O 1.99, 2 F 2.10
O: 0.0000 0.5000 0.0000  2 Nb 1.99
Pd: 0.5000 0.5000 0.5000  4 F 2.82, 8 O 2.89
O: 0.5000 0.0000 0.0000  2 Nb 1.99
F: 0.0000 0.0000 0.5000  2 Nb 2.10